1.
# SrMn2Co PBE-GGA optimized geometry
data_SrMn2Co
_chemical_formula_sum 'Sr2 Mn4 Co2'
_cell_length_a 3.173
_cell_length_b 5.098
_cell_length_c 9.623
_cell_angle_alpha 90.00
_cell_angle_beta 90.00
_cell_angle_gamma 90.00
_symmetry_space_group_name_H-M 'I m m m'
_symmetry_Int_Tables_number 71
_symmetry_space_group_name_Hall '-I 2 2'
loop_
_atom_site_label
_atom_site_type_symbol
_atom_site_fract_x
_atom_site_fract_y
_atom_site_fract_z
Sr1 Sr 0.000 0.000 0.000
Mn1 Mn 0.000 0.500 0.201
Co1 Co 0.000 0.000 0.500
# ΔE_f = 2.46 eV per formula unit
# E_tot = -49.33 eV per cell
# Energy above the lowest structure with this stoichiometry = 312 meV/atom

---

2.
# K2NpZnTe4 PBE-GGA optimized geometry
data_K2NpZnTe4
_chemical_formula_sum 'K4 Np2 Zn2 Te8'
_cell_length_a 8.537
_cell_length_b 8.537
_cell_length_c 7.520
_cell_angle_alpha 90.00
_cell_angle_beta 90.00
_cell_angle_gamma 90.00
_symmetry_space_group_name_H-M 'I -4 2 m'
_symmetry_Int_Tables_number 121
_symmetry_space_group_name_Hall 'I -4 2'
loop_
_atom_site_label
_atom_site_type_symbol
_atom_site_fract_x
_atom_site_fract_y
_atom_site_fract_z
K1 K 0.000 0.500 0.000
Np1 Np 0.000 0.000 0.000
Zn1 Zn 0.000 0.000 0.500
Te1 Te 0.177 0.177 0.277
# E_tot = -68.14 eV per cell
# Formation energy without anion corrections = -0.64 eV/atom

---

3.
# TcNiPS2 PBE-GGA optimized geometry
data_TcNiPS2
_chemical_formula_sum 'Tc1 Ni1 P1 S2'
_cell_length_a 4.601
_cell_length_b 4.601
_cell_length_c 4.608
_cell_angle_alpha 90.00
_cell_angle_beta 90.00
_cell_angle_gamma 90.00
_symmetry_space_group_name_H-M 'P 4/m m m'
_symmetry_Int_Tables_number 123
_symmetry_space_group_name_Hall '-P 4 2'
loop_
_atom_site_label
_atom_site_type_symbol
_atom_site_fract_x
_atom_site_fract_y
_atom_site_fract_z
Tc1 Tc 0.000 0.000 0.000
Ni1 Ni 0.500 0.500 0.500
P1 P 0.000 0.000 0.500
S1 S 0.000 0.500 0.000
# E_tot = -25.75 eV per cell
# Formation energy without anion corrections = 0.81 eV/atom
# Energy above the lowest structure with this stoichiometry = 0 meV/atom

---

4.
# RbGe2Bi2 PBE-GGA optimized geometry
data_RbGe2Bi2
_chemical_formula_sum 'Rb2 Ge4 Bi4'
_cell_length_a 5.203
_cell_length_b 5.203
_cell_length_c 12.823
_cell_angle_alpha 90.00
_cell_angle_beta 90.00
_cell_angle_gamma 90.00
_symmetry_space_group_name_H-M 'I 4/m m m'
_symmetry_Int_Tables_number 139
_symmetry_space_group_name_Hall '-I 4 2'
loop_
_atom_site_label
_atom_site_type_symbol
_atom_site_fract_x
_atom_site_fract_y
_atom_site_fract_z
Rb1 Rb 0.000 0.000 0.000
Ge1 Ge 0.000 0.500 0.250
Bi1 Bi 0.000 0.000 0.359
# ΔE_f = -0.15 eV per formula unit
# E_tot = -36.23 eV per cell
# Energy above the lowest structure with this stoichiometry = 0 meV/atom

---

5.
# NpGaNi4H6 PBE-GGA optimized geometry
data_NpGaNi4H6
_chemical_formula_sum 'Np1 Ga1 Ni4 H6'
_cell_length_a 4.2671
_cell_length_b 4.2671
_cell_length_c 6.5383
_cell_angle_alpha 90.00
_cell_angle_beta 90.00
_cell_angle_gamma 120.00
_symmetry_space_group_name_H-M 'P 6/m m m'
_symmetry_Int_Tables_number 191
_symmetry_space_group_name_Hall '-P 6 2'
loop_
_atom_site_label
_atom_site_type_symbol
_atom_site_fract_x
_atom_site_fract_y
_atom_site_fract_z
Np1 Np 0.0000 0.0000 0.0000
Ga1 Ga 0.0000 0.0000 0.5000
Ni1 Ni 0.3333 0.6667 0.3156
H1 H 0.0000 0.5000 0.1523
# E_tot = -61.31 eV per cell

---

6.
# HgBiSe2 PBE-GGA optimized geometry
data_HgBiSe2
_chemical_formula_sum 'Hg3 Bi3 Se6'
_cell_length_a 4.1940
_cell_length_b 4.1940
_cell_length_c 22.2609
_cell_angle_alpha 90.00
_cell_angle_beta 90.00
_cell_angle_gamma 120.00
_symmetry_space_group_name_H-M 'R 3 m'
_symmetry_Int_Tables_number 160
_symmetry_space_group_name_Hall 'R 3 -2"'
loop_
_atom_site_label
_atom_site_type_symbol
_atom_site_fract_x
_atom_site_fract_y
_atom_site_fract_z
Hg1 Hg 0.0000 0.0000 0.0000
Bi1 Bi 0.0000 0.0000 0.1701
Se1 Se 0.0000 0.0000 0.5812
Se2 Se 0.0000 0.0000 0.7586
# E_tot = -35.65 eV per cell
# Formation energy without anion corrections = -0.18 eV/atom
# Energy above the lowest structure with this stoichiometry = 0 meV/atom

---

7.
# Na2AgAu2 PBE-GGA optimized geometry
data_Na2AgAu2
_chemical_formula_sum 'Na4 Ag2 Au4'
_cell_length_a 8.668
_cell_length_b 8.668
_cell_length_c 2.848
_cell_angle_alpha 90.00
_cell_angle_beta 90.00
_cell_angle_gamma 90.00
_symmetry_space_group_name_H-M 'P 4/m b m'
_symmetry_Int_Tables_number 127
_symmetry_space_group_name_Hall '-P 4 2ab'
loop_
_atom_site_label
_atom_site_type_symbol
_atom_site_fract_x
_atom_site_fract_y
_atom_site_fract_z
Na1 Na 0.137 0.363 0.000
Ag1 Ag 0.000 0.000 0.000
Au1 Au 0.160 0.660 0.500
# ΔE_f = -0.28 eV per formula unit
# E_tot = -24.66 eV per cell
# Energy above the lowest structure with this stoichiometry = 200 meV/atom

---

8.
# Ba2SiHg PBE-GGA optimized geometry
data_Ba2SiHg
_chemical_formula_sum 'Ba2 Si1 Hg1'
_cell_length_a 4.269
_cell_length_b 5.516
_cell_length_c 6.890
_cell_angle_alpha 90.00
_cell_angle_beta 90.00
_cell_angle_gamma 90.00
_symmetry_space_group_name_H-M 'P m m 2'
_symmetry_Int_Tables_number 25
loop_
_symmetry_equiv_pos_as_xyz
'x,y,z'
'-x,-y,z'
'-x,y,z'
'x,-y,z'
loop_
_atom_site_label
_atom_site_type_symbol
_atom_site_fract_x
_atom_site_fract_y
_atom_site_fract_z
Ba1 Ba 0.000 0.000 0.000
Ba2 Ba 0.500 0.500 0.496
Si1 Si 0.500 0.500 0.995
Hg1 Hg 0.000 0.000 0.501
# E_tot = -10.01 eV per cell
# Formation energy without anion corrections = -0.11 eV/atom

---

9.
# ReRh2W PBE-GGA optimized geometry
data_ReRh2W
_chemical_formula_sum 'Re1 Rh2 W1'
_cell_length_a 3.252
_cell_length_b 3.252
_cell_length_c 5.685
_cell_angle_alpha 90.00
_cell_angle_beta 90.00
_cell_angle_gamma 90.00
_symmetry_space_group_name_H-M 'P 4 m m'
_symmetry_Int_Tables_number 99
loop_
_symmetry_equiv_pos_as_xyz
'x,y,z'
'-y,x,z'
'-x,-y,z'
'y,-x,z'
'-x,y,z'
'y,x,z'
'x,-y,z'
'-y,-x,z'
loop_
_atom_site_label
_atom_site_type_symbol
_atom_site_fract_x
_atom_site_fract_y
_atom_site_fract_z
Re1 Re 0.000 0.000 0.000
Rh1 Rh 0.000 0.000 0.498
Rh2 Rh 0.500 0.500 0.238
W1 W 0.500 0.500 0.734
# ΔE_f = 0.40 eV per formula unit
# E_tot = -39.70 eV per cell
# Energy above the lowest structure with this stoichiometry = 300 meV/atom

---

10.
# ScZnBr2 PBE-GGA optimized geometry
data_ScZnBr2
_chemical_formula_sum 'Sc2 Zn2 Br4'
_cell_length_a 4.129
_cell_length_b 4.129
_cell_length_c 10.771
_cell_angle_alpha 90.00
_cell_angle_beta 90.00
_cell_angle_gamma 90.00
_symmetry_space_group_name_H-M 'I -4 m 2'
_symmetry_Int_Tables_number 119
_symmetry_space_group_name_Hall 'I -4 -2'
loop_
_atom_site_label
_atom_site_type_symbol
_atom_site_fract_x
_atom_site_fract_y
_atom_site_fract_z
Sc1 Sc 0.000 0.000 0.000
Zn1 Zn 0.000 0.500 0.750
Br1 Br 0.000 0.000 0.500
Br2 Br 0.000 0.500 0.250
# E_tot = -25.17 eV per cell
# Formation energy without anion corrections = -0.41 eV/atom
# Energy above the lowest structure with this stoichiometry = 497 meV/atom

---

11.
# RbScSe2 PBE-GGA optimized geometry
data_RbScSe2
_chemical_formula_sum 'Rb16 Sc16 Se32'
_cell_length_a 10.297
_cell_length_b 10.234
_cell_length_c 18.654
_cell_angle_alpha 90.00
_cell_angle_beta 102.00
_cell_angle_gamma 90.00
_symmetry_space_group_name_H-M 'C 1 2/c 1'
_symmetry_Int_Tables_number 15
loop_
_symmetry_equiv_pos_as_xyz
'x,y,z'
'-x,-y,-z'
'-x,y,-z+1/2'
'x,-y,z+1/2'
'x+1/2,y+1/2,z'
'-x+1/2,-y+1/2,-z'
'-x+1/2,y+1/2,-z+1/2'
'x+1/2,-y+1/2,z+1/2'
loop_
_atom_site_label
_atom_site_type_symbol
_atom_site_fract_x
_atom_site_fract_y
_atom_site_fract_z
Rb1 Rb 0.120 0.165 0.079
Rb2 Rb 0.130 0.406 0.410
Sc1 Sc 0.023 0.162 0.832
Sc2 Sc 0.232 0.414 0.687
Se1 Se 0.000 0.081 0.250
Se2 Se 0.000 0.397 0.750
Se3 Se 0.068 0.296 0.573
Se4 Se 0.190 0.027 0.927
Se5 Se 0.238 0.161 0.751
# E_tot = -318.23 eV per cell
# Formation energy without anion corrections = -1.41 eV/atom

---

12.
# ScHgCl6 PBE-GGA optimized geometry
data_ScHgCl6
_chemical_formula_sum 'Sc1 Hg1 Cl6'
_cell_length_a 6.602
_cell_length_b 6.654
_cell_length_c 6.655
_cell_angle_alpha 60.59
_cell_angle_beta 65.63
_cell_angle_gamma 86.94
_symmetry_space_group_name_H-M 'P -1'
_symmetry_Int_Tables_number 2
loop_
_symmetry_equiv_pos_as_xyz
'x,y,z'
'-x,-y,-z'
loop_
_atom_site_label
_atom_site_type_symbol
_atom_site_fract_x
_atom_site_fract_y
_atom_site_fract_z
Sc1 Sc 0.000 0.000 0.000
Hg1 Hg 0.500 0.500 0.000
Cl1 Cl 0.049 0.164 0.550
Cl2 Cl 0.214 0.380 0.816
Cl3 Cl 0.396 0.879 0.863
# E_tot = -26.68 eV per cell
# Formation energy without anion corrections = -1.12 eV/atom

---

Q: Look up the E_tot of the first one.
A: -49.33 eV per cell